ErAlB4 (PBE, relaxed); energy above the most stable polymorph in this dataset = 0.025 eV/atom; total magnetic moment = 0.0 μB/cell; space group = No. 71; mass density = 6.29 g cm⁻³
1.0
-1.588 2.620 3.771
1.588 -2.620 3.771
1.588 2.620 -3.771
Er Al B
1 1 4
Direct
0.000 0.000 0.000
0.500 0.500 0.000
0.071 0.742 0.329
0.413 0.742 0.671
0.587 0.258 0.329
0.929 0.258 0.671